Entry 1:
VASP calculation (PBE) on a relaxed structure of TlTcHg2.

Values from the calculation:
SG = No. 123
size of the total moment = 0.20 μB/f.u.
E_form = 650 meV/atom

a = 4.2433 Å, b = 4.2433 Å, c = 4.5041 Å
α = 90.00°, β = 90.00°, γ = 90.00°
Closest atoms and distances in Å follow each position.
Fractional positions:
Tl1 0.0000 0.0000 0.0000  4 Tc 3.00, 8 Hg 3.09
Tc1 0.5000 0.5000 0.0000  4 Tl 3.00, 8 Hg 3.09
Hg1 0.0000 0.5000 0.5000  4 Hg 3.00, 4 Tl 3.09, 4 Tc 3.09
Hg2 0.5000 0.0000 0.5000  4 Hg 3.00, 4 Tl 3.09, 4 Tc 3.09

***

Entry 2:
VASP calculation (PBE) on a relaxed structure of Tl2TcHg.

Values from the calculation:
SG = No. 123
size of the total moment = 2.02 μB/f.u.
E_form = 572 meV/atom

a = 3.1603 Å, b = 3.1603 Å, c = 9.5772 Å
α = 90.00°, β = 90.00°, γ = 90.00°
Closest atoms and distances in Å follow each position.
Fractional positions:
Tl1 0.0000 0.0000 0.2062  4 Tc 2.98, 4 Tl 3.16
Tl2 0.0000 0.0000 0.7938  4 Tc 2.98, 4 Tl 3.16
Tc1 0.5000 0.5000 0.0000  8 Tl 2.98, 4 Tc 3.16
Hg1 0.5000 0.5000 0.5000  4 Hg 3.16

***

Entry 3:
VASP calculation (PBE) on a relaxed structure of TlTc2Hg.

Values from the calculation:
SG = No. 65
size of the total moment = 1.20 μB/f.u.
E_form = 873 meV/atom

a = 2.9383 Å, b = 2.9383 Å, c = 9.5653 Å
α = 90.00°, β = 90.00°, γ = 116.81°
Closest atoms and distances in Å follow each position.
Fractional positions:
Tl1 0.0000 0.0000 0.0000  4 Tc 2.84, 6 Tl 2.94-3.08
Tc1 0.5000 0.5000 0.2496  2 Tl 2.84, 2 Hg 2.85, 6 Tc 2.94-3.08
Tc2 0.5000 0.5000 0.7504  2 Tl 2.84, 2 Hg 2.85, 6 Tc 2.94-3.08
Hg1 0.0000 0.0000 0.5000  4 Tc 2.85, 6 Hg 2.94-3.08

***

Entry 4:
VASP calculation (PBE) on a relaxed structure of ZrTlTc2Hg.

Values from the calculation:
SG = No. 123
size of the total moment = 2.86 μB/f.u.
E_form = 1863 meV/atom

a = 5.0563 Å, b = 5.0563 Å, c = 5.0717 Å
α = 90.00°, β = 90.00°, γ = 90.00°
Closest atoms and distances in Å follow each position.
Fractional positions:
Zr1 0.0000 0.0000 0.0000  4 Hg 3.58, 8 Tc 3.58
Tl1 0.5000 0.5000 0.5000  4 Tc 2.53, 2 Hg 2.54
Tc1 0.0000 0.5000 0.5000  2 Tl 2.53
Tc2 0.5000 0.0000 0.5000  2 Tl 2.53
Hg1 0.5000 0.5000 0.0000  2 Tl 2.54

***

Entry 5:
VASP calculation (PBE) on a relaxed structure of Tm6Tc2Hg.

Values from the calculation:
SG = No. 71
size of the total moment = 0.00 μB/f.u.
E_form = -202 meV/atom

a = 8.3752 Å, b = 8.3752 Å, c = 8.3752 Å
α = 111.99°, β = 111.42°, γ = 105.10°
Closest atoms and distances in Å follow each position.
Fractional positions:
Tm1 0.0240 0.8200 0.2040  3 Tc 2.82-2.95
Tm2 0.2376 0.5294 0.2918  2 Tc 2.83-3.11, 1 Hg 3.11
Tm3 0.2376 0.9458 0.7082  2 Tc 2.83-3.11, 1 Hg 3.11
Tm4 0.2809 0.3119 0.5928  3 Tc 2.97-3.12, 1 Hg 3.18
Tm5 0.2809 0.6881 0.9690  3 Tc 2.97-3.12, 1 Hg 3.18
Tm6 0.3840 0.1800 0.2040  3 Tc 2.82-2.95
Tm7 0.6160 0.8200 0.7960  3 Tc 2.82-2.95
Tm8 0.7191 0.3119 0.0310  3 Tc 2.97-3.12, 1 Hg 3.18
Tm9 0.7191 0.6881 0.4072  3 Tc 2.97-3.12, 1 Hg 3.18
Tm10 0.7624 0.0542 0.2918  2 Tc 2.83-3.11, 1 Hg 3.11
Tm11 0.7624 0.4706 0.7082  2 Tc 2.83-3.11, 1 Hg 3.11
Tm12 0.9760 0.1800 0.7960  3 Tc 2.82-2.95
Tc1 0.0000 0.1360 0.1360  1 Tc 2.55, 2 Tm 2.83
Tc2 0.0000 0.8640 0.8640  1 Tc 2.55, 2 Tm 2.83
Tc3 0.3828 0.3828 0.0000  1 Tc 2.39
Tc4 0.6172 0.6172 0.0000  1 Tc 2.39
Hg1 0.0000 0.5000 0.5000  8 Tm 3.11-3.18, 2 Tc 3.41
Hg2 0.5000 0.0000 0.5000  12 Tm 3.31-3.58

***

Entry 6:
VASP calculation (PBE) on a relaxed structure of Tm5TcHg2.

Values from the calculation:
SG = No. 55
size of the total moment = 0.00 μB/f.u.
E_form = -290 meV/atom

a = 6.6670 Å, b = 12.0773 Å, c = 4.9536 Å
α = 90.00°, β = 90.00°, γ = 90.00°
Closest atoms and distances in Å follow each position.
Fractional positions:
Tm1 0.0000 0.0000 0.0000  4 Hg 3.15, 2 Tc 3.33
Tm2 0.1336 0.2871 0.0000  1 Tc 2.72
Tm3 0.1650 0.5959 0.5000  2 Tc 2.95, 2 Hg 3.04-3.11, 1 Tm 3.19
Tm4 0.3350 0.0959 0.5000  2 Tc 2.95, 2 Hg 3.04-3.11, 1 Tm 3.19
Tm5 0.3664 0.7871 0.0000  1 Tc 2.72
Tm6 0.5000 0.5000 0.0000  4 Hg 3.15, 2 Tc 3.33
Tm7 0.6336 0.2129 0.0000  1 Tc 2.72
Tm8 0.6650 0.9041 0.5000  2 Tc 2.95, 2 Hg 3.04-3.11, 1 Tm 3.19
Tm9 0.8350 0.4041 0.5000  2 Tc 2.95, 2 Hg 3.04-3.11, 1 Tm 3.19
Tm10 0.8664 0.7129 0.0000  1 Tc 2.72
Tc1 0.0000 0.5000 0.0000  6 Tm 2.72-2.95
Tc2 0.5000 0.0000 0.0000  6 Tm 2.72-2.95
Hg1 0.1101 0.8514 0.5000  7 Tm 3.04-3.31
Hg2 0.3899 0.3514 0.5000  7 Tm 3.04-3.31
Hg3 0.6101 0.6486 0.5000  7 Tm 3.04-3.31
Hg4 0.8899 0.1486 0.5000  7 Tm 3.04-3.31

***

Which formula does entry 5 have? Tm6Tc2Hg

***

Which value of E_form does entry 2 give? 572 meV/atom

***

What is the size of the total moment in the sixth record? 0.00 μB/f.u.